Entry 1:
# Ni6PdPt3

A geometry-optimized Ni6PdPt3 structure (PBE-GGA, the Alexandria database).

a b c (Å): 4.6214 7.9047 7.9047
angles (deg): 110.93 90.00 90.00
Atoms (fractional coordinates):
Pt 0.5249 0.8835 0.7075
Ni 0.3658 0.0159 0.4799
Pt 0.5249 0.2925 0.1165
Pt 0.0249 0.1165 0.2925
Ni 0.0437 0.4345 0.2886
Ni 0.5437 0.2886 0.4345
Ni 0.3658 0.5201 0.9841
Pd 0.1259 0.1755 0.8245
Pt 0.0249 0.7075 0.8835
Ni 0.8658 0.9841 0.5201
Pd 0.6259 0.8245 0.1755
Pt 0.0539 0.3858 0.6142
Ni 0.8214 0.0185 0.9815
Ni 0.1153 0.7404 0.2596
Pt 0.5539 0.6142 0.3858
Ni 0.3214 0.9815 0.0185
Ni 0.6153 0.2596 0.7404
Ni 0.5437 0.5655 0.7114
Ni 0.0437 0.7114 0.5655
Ni 0.8658 0.4799 0.0159

Values from the calculation:
DFT total energy in eV per atom: -5.675
Crystal system: orthorhombic
Calculated density in g cm⁻³: 12.9

=====

Entry 2:
# Ta2B

A geometry-optimized Ta2B structure (PBE-GGA, the Alexandria database).

a b c (Å): 4.7816 4.7816 4.7816
angles (deg): 105.22 105.22 118.36
Atoms (fractional coordinates):
Ta 0.8331 0.6669 0.5000
Ta 0.1669 0.3331 0.5000
B 0.2500 0.2500 0.0000
B 0.7500 0.7500 0.0000
Ta 0.3331 0.8331 0.1663
Ta 0.6669 0.1669 0.8337

Values from the calculation:
DFT total energy in eV per atom: -10.654
Crystal system: tetragonal
Calculated density in g cm⁻³: 15.0

=====

Entry 3:
# La8PdAu2

A geometry-optimized La8PdAu2 structure (PBE-GGA, the Alexandria database).

a b c (Å): 5.2940 7.0637 9.9577
angles (deg): 108.15 105.42 90.00
Atoms (fractional coordinates):
La 0.2016 0.3405 0.4032
Pd 0.5000 0.0000 0.0000
Au 0.1704 0.7410 0.3407
La 0.4103 0.5318 0.8207
La 0.6690 0.0095 0.3381
La 0.5897 0.4682 0.1793
La 0.7984 0.6595 0.5968
La 0.3310 0.9905 0.6619
La 0.0200 0.7892 0.0400
Au 0.8296 0.2590 0.6593
La 0.9800 0.2108 0.9600

Values from the calculation:
DFT total energy in eV per atom: -5.085
Crystal system: monoclinic
Calculated density in g cm⁻³: 7.9

=====

Entry 4:
# TaSbRu2

A geometry-optimized TaSbRu2 structure (PBE-GGA, the Alexandria database).

a b c (Å): 4.0395 3.1142 6.2407
angles (deg): 60.04 90.00 90.00
Atoms (fractional coordinates):
Ru 0.5000 0.2075 0.2920
Ta 0.5000 0.7145 0.7866
Ru 0.0000 0.0397 0.9594
Sb 0.0000 0.5382 0.4619

Values from the calculation:
Formation energy without anion corrections in eV/atom: -0.02
Crystal system: orthorhombic
Calculated density in g cm⁻³: 12.3

=====

Entry 5:
# RbSm2Ag3Te5

A geometry-optimized RbSm2Ag3Te5 structure (PBE-GGA, the Alexandria database).

a b c (Å): 8.4556 8.4556 18.6510
angles (deg): 90.00 90.00 148.25
Atoms (fractional coordinates):
Sm 0.3105 0.6895 0.0937
Ag 0.0880 0.9120 0.4719
Te 0.6741 0.3259 0.0743
Sm 0.6895 0.3105 0.9063
Te 0.0591 0.9409 0.6223
Sm 0.6895 0.3105 0.5937
Rb 0.4418 0.5582 0.7500
Te 0.6741 0.3259 0.4257
Ag 0.1640 0.8360 0.7500
Te 0.9409 0.0591 0.1223
Te 0.0591 0.9409 0.8777
Ag 0.0880 0.9120 0.0281
Ag 0.8360 0.1640 0.2500
Sm 0.3105 0.6895 0.4063
Te 0.7602 0.2398 0.7500
Te 0.3259 0.6741 0.9257
Ag 0.9120 0.0880 0.9719
Te 0.3259 0.6741 0.5743
Te 0.2398 0.7602 0.2500
Rb 0.5582 0.4418 0.2500
Ag 0.9120 0.0880 0.5281
Te 0.9409 0.0591 0.3777

Values from the calculation:
Formation energy without anion corrections in eV/atom: -0.90
Crystal system: orthorhombic
Calculated density in g cm⁻³: 6.4

=====

Entry 6:
# GdCoSnRh

A geometry-optimized GdCoSnRh structure (PBE-GGA, the Alexandria database).

a b c (Å): 4.6655 4.6655 4.6655
angles (deg): 60.00 60.00 60.00
Atoms (fractional coordinates):
Gd 0.7500 0.7500 0.7500
Co 0.0000 0.0000 0.0000
Sn 0.2500 0.2500 0.2500
Rh 0.5000 0.5000 0.5000

Values from the calculation:
DFT total energy in eV per atom: -8.603
Crystal system: cubic
Calculated density in g cm⁻³: 10.1

=====

Entry 7:
# ScReIr3

A geometry-optimized ScReIr3 structure (PBE-GGA, the Alexandria database).

a b c (Å): 4.7367 4.7367 4.7367
angles (deg): 90.00 90.00 90.00
Atoms (fractional coordinates):
Ir 0.0000 0.5000 0.0000
Re 0.0000 0.0000 0.0000
Ir 0.5000 0.0000 0.0000
Sc 0.5000 0.5000 0.5000
Ir 0.0000 0.0000 0.5000

Values from the calculation:
DFT total energy in eV per atom: -8.119
Crystal system: cubic
Calculated density in g cm⁻³: 12.6

=====

Entry 8:
# K2ReBr

A geometry-optimized K2ReBr structure (PBE-GGA, the Alexandria database).

a b c (Å): 10.3491 3.7976 16.5017
angles (deg): 90.00 115.21 90.00
Atoms (fractional coordinates):
Re 0.5004 0.5000 0.7086
K 0.7701 0.5000 0.1857
Br 0.0446 0.5000 0.3895
K 0.1975 0.0000 0.5762
K 0.2299 0.5000 0.8143
K 0.8025 0.5000 0.9238
K 0.7701 0.0000 0.6857
K 0.2299 0.0000 0.3143
K 0.8025 0.0000 0.4238
Br 0.9554 0.5000 0.6105
K 0.1975 0.5000 0.0762
Br 0.9554 0.0000 0.1105
Re 0.4996 0.0000 0.7914
Br 0.0446 0.0000 0.8895
Re 0.4996 0.5000 0.2914
Re 0.5004 0.0000 0.2086

Values from the calculation:
Formation energy without anion corrections in eV/atom: -0.15
Crystal system: monoclinic
Calculated density in g cm⁻³: 3.9

=====

Entry 9:
# SiAsPO2

A geometry-optimized SiAsPO2 structure (PBE-GGA, the Alexandria database).

a b c (Å): 3.7086 3.7086 4.9409
angles (deg): 90.00 90.00 90.00
Atoms (fractional coordinates):
O 0.5000 0.0000 0.0000
Si 0.5000 0.5000 0.5000
As 0.0000 0.0000 0.0000
P 0.0000 0.0000 0.5000
O 0.0000 0.5000 0.0000

Values from the calculation:
Formation energy without anion corrections in eV/atom: -0.09
Crystal system: tetragonal
Calculated density in g cm⁻³: 4.1

=====

Entry 10:
# NpURu2

A geometry-optimized NpURu2 structure (PBE-GGA, the Alexandria database).

a b c (Å): 3.5317 4.6509 4.6509
angles (deg): 90.00 90.00 90.00
Atoms (fractional coordinates):
Ru 0.0000 0.0000 0.5000
Np 0.5000 0.5000 0.5000
U 0.5000 0.0000 0.0000
Ru 0.0000 0.5000 0.0000

Values from the calculation:
DFT total energy in eV per atom: -10.751
Crystal system: tetragonal
Calculated density in g cm⁻³: 14.7

=====

Entry 11:
# YIrO2F

A geometry-optimized YIrO2F structure (PBE-GGA, the Alexandria database).

a b c (Å): 4.0166 4.0166 4.2545
angles (deg): 90.00 90.00 90.00
Atoms (fractional coordinates):
O 0.0000 0.5000 0.0000
Ir 0.0000 0.0000 0.0000
F 0.0000 0.0000 0.5000
O 0.5000 0.0000 0.0000
Y 0.5000 0.5000 0.5000

Values from the calculation:
Formation energy without anion corrections in eV/atom: -1.20
Crystal system: tetragonal
Calculated density in g cm⁻³: 8.0

=====

Entry 12:
# PrYIrO6

A geometry-optimized PrYIrO6 structure (PBE-GGA, the Alexandria database).

a b c (Å): 5.5497 5.5497 10.0508
angles (deg): 90.00 90.00 120.00
Atoms (fractional coordinates):
O 0.6654 0.0417 0.3607
Pr 0.0000 0.0000 0.5000
O 0.0417 0.6654 0.8607
O 0.3346 0.3763 0.8607
O 0.9583 0.6237 0.3607
O 0.3346 0.9583 0.6393
O 0.3763 0.0417 0.1393
O 0.0417 0.3763 0.6393
O 0.3763 0.3346 0.3607
Y 0.6667 0.3333 0.7500
O 0.6654 0.6237 0.1393
O 0.6237 0.9583 0.8607
O 0.9583 0.3346 0.1393
Ir 0.6667 0.3333 0.2500
Y 0.3333 0.6667 0.2500
Ir 0.3333 0.6667 0.7500
O 0.6237 0.6654 0.6393
Pr 0.0000 0.0000 0.0000

Values from the calculation:
Formation energy without anion corrections in eV/atom: -2.16
Crystal system: trigonal
Calculated density in g cm⁻³: 6.4